# 1
KHg2Ir GGA-PBE relaxed; density of states at the Fermi level = 0.86 states/eV per atom; excess energy over the best structure of this formula in the dataset = 178 kJ/mol of formula units; crystal system = trigonal; DFT formation energy = 0.507 eV/atom; M_tot = 0.163 μB per atom
1.0
-2.1313 -10.2687 -1.4267
0.0186 -9.9283 -3.6679
0.9041 -10.5201 -0.7308
Hg Ir K
2 1 1
Direct
0.9897 0.9897 0.9897 Hg
0.5103 0.5103 0.5103 Hg
0.2500 0.2500 0.2500 Ir
0.7500 0.7500 0.7500 K


# 2
KHgIr2 GGA-PBE relaxed; density of states at the Fermi level = 1.19 states/eV per atom; crystal system = cubic; DFT formation energy = 1.010 eV/atom; M_tot = 0.314 μB per atom
1.0
4.7813 0.0000 0.0000
2.3907 4.1407 0.0000
2.3907 1.3802 3.9039
Hg Ir K
1 2 1
Direct
0.5000 0.5000 0.5000 Hg
0.0000 0.0000 0.0000 Ir
0.2500 0.2500 0.2500 Ir
0.7500 0.7500 0.7500 K


# 3
KHg2Ir GGA-PBE relaxed; density of states at the Fermi level = 0.31 states/eV per atom; excess energy over the best structure of this formula in the dataset = 8 kJ/mol of formula units; crystal system = triclinic; DFT formation energy = 0.067 eV/atom; M_tot = 0.000 μB per atom
1.0
-2.7844 3.1856 1.2736
-4.1450 -3.6658 0.0583
-0.2959 -3.3799 9.2412
K Hg Ir
2 4 2
Direct
0.6917 0.9132 0.7547 K
0.2003 0.7408 0.1686 K
0.7246 0.2581 0.0163 Hg
0.1718 0.8590 0.4959 Hg
0.6839 0.2386 0.3212 Hg
0.2277 0.3936 0.7884 Hg
0.6483 0.4825 0.5442 Ir
0.1523 0.3508 0.4972 Ir


# 4
K2HgIr GGA-PBE relaxed; density of states at the Fermi level = 0.81 states/eV per atom; crystal system = trigonal; DFT formation energy = 0.606 eV/atom; M_tot = 0.073 μB per atom
1.0
11.5822 0.0080 0.0047
11.1427 3.1605 0.0047
11.1427 1.5536 2.7523
Hg Ir K
1 1 2
Direct
0.2500 0.2500 0.2500 Hg
0.7500 0.7500 0.7500 Ir
0.0094 0.0094 0.0094 K
0.4906 0.4906 0.4906 K


# 5
KHg2Ir GGA-PBE relaxed; density of states at the Fermi level = 0.31 states/eV per atom; excess energy over the best structure of this formula in the dataset = 13 kJ/mol of formula units; crystal system = monoclinic; DFT formation energy = 0.079 eV/atom; M_tot = 0.000 μB per atom
1.0
-3.0942 -1.3698 3.0229
-1.7694 -3.3258 -3.3182
13.8454 -13.6721 6.3203
K Ir Hg
4 4 8
Direct
0.7009 0.0000 0.9848 K
0.7009 0.5000 0.4848 K
0.6378 0.0000 0.2698 K
0.6378 0.5000 0.7698 K
0.0642 0.0000 0.5707 Ir
0.0642 0.5000 0.0707 Ir
0.5843 0.0000 0.6128 Ir
0.5843 0.5000 0.1128 Ir
0.1753 0.0000 0.8502 Hg
0.1753 0.5000 0.3502 Hg
0.3053 0.0000 0.1084 Hg
0.3053 0.5000 0.6084 Hg
0.1635 0.0000 0.4384 Hg
0.1635 0.5000 0.9384 Hg
0.0885 0.0000 0.7072 Hg
0.0885 0.5000 0.2072 Hg


# 6
KHg2Ir GGA-PBE relaxed; density of states at the Fermi level = 0.30 states/eV per atom; excess energy over the best structure of this formula in the dataset = 16 kJ/mol of formula units; crystal system = triclinic; DFT formation energy = 0.086 eV/atom; M_tot = 0.000 μB per atom
1.0
4.4301 0.0002 0.0004
0.0003 5.6292 -0.0007
-2.2031 -2.2754 9.5361
K Hg Ir
2 4 2
Direct
0.4299 0.8636 0.0307 K
0.5929 0.4773 0.3537 K
0.1601 0.0425 0.4851 Hg
0.8016 0.9485 0.7740 Hg
0.9450 0.3831 0.0585 Hg
0.2255 0.6111 0.6210 Hg
0.3238 0.3128 0.8187 Ir
0.8016 0.4527 0.7740 Ir


# 7
KHg2Ir GGA-PBE relaxed; density of states at the Fermi level = 0.57 states/eV per atom; excess energy over the best structure of this formula in the dataset = 206 kJ/mol of formula units; crystal system = tetragonal; DFT formation energy = 0.579 eV/atom; M_tot = 0.000 μB per atom
1.0
-1.8139 5.2037 1.3936
-3.2530 2.5525 -3.9005
0.0481 -5.0876 2.5348
Hg Ir K
2 1 1
Direct
0.0000 0.0000 0.0000 Hg
0.2500 0.7500 0.5000 Hg
0.5000 0.5000 0.0000 Ir
0.7500 0.2500 0.5000 K


# 8
KHg2Ir2 GGA-PBE relaxed; density of states at the Fermi level = 1.06 states/eV per atom; excess energy over the best structure of this formula in the dataset = 21 kJ/mol of formula units; crystal system = tetragonal; DFT formation energy = 0.473 eV/atom; M_tot = 0.001 μB per atom
1.0
3.9303 0.0000 0.0000
0.0000 3.9303 0.0000
1.9652 1.9652 7.0864
K Ir Hg
1 2 2
Direct
0.0000 0.0000 0.0000 K
0.7500 0.2500 0.5000 Ir
0.2500 0.7500 0.5000 Ir
0.3945 0.3945 0.2111 Hg
0.6055 0.6055 0.7889 Hg


# 9
KHg2Ir GGA-PBE relaxed; density of states at the Fermi level = 0.42 states/eV per atom; excess energy over the best structure of this formula in the dataset = 10 kJ/mol of formula units; crystal system = monoclinic; DFT formation energy = 0.072 eV/atom; M_tot = 0.000 μB per atom
1.0
5.3318 0.0000 0.0224
0.0000 4.3512 0.0000
-2.2922 0.0000 20.1557
K Ir Hg
4 4 8
Direct
0.2073 0.0000 0.3916 K
0.7927 0.0000 0.6084 K
0.2073 0.5000 0.8916 K
0.7927 0.5000 0.1084 K
0.9049 0.0000 0.2469 Ir
0.0951 0.0000 0.7531 Ir
0.9049 0.5000 0.7469 Ir
0.0951 0.5000 0.2531 Ir
0.2675 0.0000 0.0435 Hg
0.7325 0.0000 0.9565 Hg
0.2675 0.5000 0.5435 Hg
0.7325 0.5000 0.4565 Hg
0.6107 0.0000 0.8006 Hg
0.3893 0.0000 0.1994 Hg
0.6107 0.5000 0.3006 Hg
0.3893 0.5000 0.6994 Hg


# 10
KHg2Ir GGA-PBE relaxed; density of states at the Fermi level = 0.49 states/eV per atom; excess energy over the best structure of this formula in the dataset = 19 kJ/mol of formula units; crystal system = monoclinic; DFT formation energy = 0.094 eV/atom; M_tot = 0.000 μB per atom
1.0
5.7233 0.0000 -0.0020
0.0000 4.6374 0.0000
-1.6299 0.0000 17.2161
K Ir Hg
4 4 8
Direct
0.2457 0.0000 0.9169 K
0.7543 0.0000 0.0831 K
0.2457 0.5000 0.4169 K
0.7543 0.5000 0.5831 K
0.9053 0.0000 0.2620 Ir
0.0947 0.0000 0.7380 Ir
0.9053 0.5000 0.7620 Ir
0.0947 0.5000 0.2380 Ir
0.2237 0.0000 0.5849 Hg
0.7763 0.0000 0.4151 Hg
0.2237 0.5000 0.0849 Hg
0.7763 0.5000 0.9151 Hg
0.6287 0.0000 0.7502 Hg
0.3713 0.0000 0.2498 Hg
0.6287 0.5000 0.2502 Hg
0.3713 0.5000 0.7498 Hg


# 11
KHgIr2 GGA-PBE relaxed; density of states at the Fermi level = 1.21 states/eV per atom; crystal system = orthorhombic; DFT formation energy = 0.911 eV/atom; M_tot = 0.000 μB per atom
1.0
-4.0676 -3.5397 -1.8534
4.5027 0.7982 -3.4056
1.2455 -2.0428 1.1680
Hg Ir K
1 2 1
Direct
0.0000 0.5000 0.5000 Hg
0.0000 0.0000 0.0000 Ir
0.5000 0.5000 0.0000 Ir
0.5000 0.0000 0.5000 K


# 12
KHgIr2 GGA-PBE relaxed; density of states at the Fermi level = 1.06 states/eV per atom; crystal system = orthorhombic; DFT formation energy = 0.772 eV/atom; M_tot = 0.000 μB per atom
1.0
-0.7244 2.7471 -0.3391
-0.9729 -1.8570 -1.9471
-8.4788 -1.5324 5.6981
Hg Ir K
1 2 1
Direct
0.5000 0.5000 0.7500 Hg
0.0000 0.0000 0.9793 Ir
0.0000 0.0000 0.5207 Ir
0.5000 0.5000 0.2500 K


# 13
KHg2Ir GGA-PBE relaxed; density of states at the Fermi level = 0.40 states/eV per atom; excess energy over the best structure of this formula in the dataset = 7 kJ/mol of formula units; crystal system = triclinic; DFT formation energy = 0.065 eV/atom; M_tot = 0.000 μB per atom
1.0
-3.6713 -2.3300 -0.6715
0.5845 -2.3987 5.1304
-4.7852 6.5988 3.3860
K Hg Ir
2 4 2
Direct
0.2942 0.0268 0.0488 K
0.2911 0.5970 0.4242 K
0.7946 0.0953 0.3536 Hg
0.7981 0.8357 0.7743 Hg
0.7881 0.5121 0.0965 Hg
0.2981 0.1132 0.6089 Hg
0.8001 0.3354 0.7802 Ir
0.3004 0.4918 0.8291 Ir


# 14
K2HgIr GGA-PBE relaxed; density of states at the Fermi level = 0.68 states/eV per atom; crystal system = tetragonal; DFT formation energy = 0.391 eV/atom; M_tot = 0.000 μB per atom
1.0
-2.5602 -2.7464 -0.3377
-0.2228 -0.2540 3.7546
-7.1716 6.6821 0.0265
Hg Ir K
1 1 2
Direct
0.0000 0.0000 0.5968 Hg
0.5000 0.5000 0.6521 Ir
0.0000 0.0000 0.9149 K
0.5000 0.5000 0.3363 K


# 15
KHg2Ir GGA-PBE relaxed; density of states at the Fermi level = 0.68 states/eV per atom; excess energy over the best structure of this formula in the dataset = 129 kJ/mol of formula units; crystal system = tetragonal; DFT formation energy = 0.378 eV/atom; M_tot = 0.000 μB per atom
1.0
-2.8382 -3.6412 3.3509
4.8965 -2.6245 1.2955
2.1268 2.2739 9.1280
K Ir Hg
2 2 4
Direct
0.5000 0.5000 0.0000 K
0.2500 0.7500 0.5000 K
0.0000 0.0000 0.0000 Ir
0.7500 0.2500 0.5000 Ir
0.8131 0.1250 0.2500 Hg
0.9369 0.6250 0.2500 Hg
0.3750 0.1869 0.7500 Hg
0.8750 0.0631 0.7500 Hg


# 16
KHgIr3 GGA-PBE relaxed; density of states at the Fermi level = 1.21 states/eV per atom; excess energy over the best structure of this formula in the dataset = 463 kJ/mol of formula units; crystal system = cubic; DFT formation energy = 2.991 eV/atom; M_tot = 0.321 μB per atom
1.0
4.7526 0.0000 0.0000
0.0000 4.7526 0.0000
0.0000 0.0000 4.7526
K Ir Hg
1 3 1
Direct
0.0000 0.0000 0.0000 K
0.0000 0.5000 0.0000 Ir
0.0000 0.0000 0.5000 Ir
0.5000 0.0000 0.0000 Ir
0.5000 0.5000 0.5000 Hg


# 17
KHgIr3 GGA-PBE relaxed; density of states at the Fermi level = 2.64 states/eV per atom; excess energy over the best structure of this formula in the dataset = 0 kJ/mol of formula units; crystal system = cubic; DFT formation energy = 2.032 eV/atom; M_tot = 0.613 μB per atom
1.0
-1.5524 -2.0234 -4.4057
3.1922 -3.9083 0.6702
-3.6489 -2.5583 2.4607
K Ir Hg
1 3 1
Direct
0.5000 0.5000 0.5000 K
0.0000 0.5000 0.0000 Ir
0.0000 0.0000 0.5000 Ir
0.5000 0.0000 0.0000 Ir
0.0000 0.0000 0.0000 Hg


# 18
KHg2Ir2 GGA-PBE relaxed; density of states at the Fermi level = 0.70 states/eV per atom; excess energy over the best structure of this formula in the dataset = 0 kJ/mol of formula units; crystal system = tetragonal; DFT formation energy = 0.430 eV/atom; M_tot = 0.000 μB per atom
1.0
8.5135 0.0000 0.0000
0.0000 8.5135 0.0000
0.0000 0.0000 2.8646
K Ir Hg
2 4 4
Direct
0.0000 0.0000 0.0000 K
0.5000 0.5000 0.0000 K
0.1052 0.6052 0.5000 Ir
0.6052 0.8948 0.5000 Ir
0.8948 0.3948 0.5000 Ir
0.3948 0.1052 0.5000 Ir
0.3129 0.8129 0.0000 Hg
0.8129 0.6871 0.0000 Hg
0.6871 0.1871 0.0000 Hg
0.1871 0.3129 0.0000 Hg


# 19
KHgIr2 GGA-PBE relaxed; density of states at the Fermi level = 1.03 states/eV per atom; crystal system = orthorhombic; DFT formation energy = 0.807 eV/atom; M_tot = 0.000 μB per atom
1.0
-1.5933 -2.2677 0.5116
0.4007 -1.3762 -4.8518
4.3536 -2.7986 1.1534
Hg Ir K
1 2 1
Direct
0.0000 0.5000 0.5000 Hg
0.0000 0.0000 0.0000 Ir
0.5000 0.5000 0.0000 Ir
0.5000 0.0000 0.5000 K


# 20
K2HgIr GGA-PBE relaxed; density of states at the Fermi level = 0.70 states/eV per atom; crystal system = monoclinic; DFT formation energy = 0.506 eV/atom; M_tot = 0.000 μB per atom
1.0
-3.3702 -4.2267 -0.4921
1.7448 -1.5931 1.7329
-3.2680 2.0053 5.1579
Hg Ir K
1 1 2
Direct
0.0000 0.6254 0.5020 Hg
0.5000 0.6241 0.7509 Ir
0.0000 0.1228 0.9612 K
0.5000 0.1278 0.2859 K


For the records above, the corresponding calculated total energy values read -0.07842, -0.13856, -0.09458, -0.08207, -0.09415, -0.09386, -0.07576, -0.12536, -0.09440, -0.09360, -0.14221, -0.14729, -0.09466, -0.08997, -0.08313, -0.09575, -0.13100, -0.12697, -0.14601, -0.08575 hartree per atom.